No. 1
# Sm2AgPd5 | Alexandria via LeMat-Bulk | PBE-GGA | optimized geometry
# ΔE_f in kJ per mole of atoms: -72.2
# Calculated density in g/cm³: 10.6
# Energy relative to the lowest polymorph listed for this composition in meV/atom: 0
# N(E_F) in states/eV/f.u.: 1.62
# V in Å³ per atom: 18.49
# Spin magnetization in μB/f.u.: 0.00
data_Sm2AgPd5
_cell_length_a 6.025
_cell_length_b 6.025
_cell_length_c 8.148
_cell_angle_alpha 90.00
_cell_angle_beta 90.00
_cell_angle_gamma 90.00
_space_group_name_H-M_alt 'I 4/m m m'
_space_group_IT_number 139
_space_group_name_Hall '-I 4 2'
loop_
_atom_site_label
_atom_site_type_symbol
_atom_site_fract_x
_atom_site_fract_y
_atom_site_fract_z
Sm1 Sm 0.000 0.500 0.000
Ag1 Ag 0.000 0.000 0.000
Pd1 Pd 0.000 0.000 0.500
Pd2 Pd 0.250 0.250 0.250


No. 2
# ZnHgMo2 | Alexandria via LeMat-Bulk | PBE-GGA | optimized geometry
# ΔE_f in kJ per mole of atoms: 42.1
# Calculated density in g/cm³: 11.5
# Energy relative to the lowest polymorph listed for this composition in meV/atom: 167
# N(E_F) in states/eV/f.u.: 2.72
# V in Å³ per atom: 16.51
# Spin magnetization in μB/f.u.: 0.00
data_ZnHgMo2
_cell_length_a 4.043
_cell_length_b 4.043
_cell_length_c 8.078
_cell_angle_alpha 90.00
_cell_angle_beta 90.00
_cell_angle_gamma 90.00
_space_group_name_H-M_alt 'I -4 m 2'
_space_group_IT_number 119
_space_group_name_Hall 'I -4 -2'
loop_
_atom_site_label
_atom_site_type_symbol
_atom_site_fract_x
_atom_site_fract_y
_atom_site_fract_z
Zn1 Zn 0.000 0.000 0.000
Hg1 Hg 0.000 0.500 0.750
Mo1 Mo 0.000 0.000 0.500
Mo2 Mo 0.000 0.500 0.250


No. 3
# BaCoCl | Alexandria via LeMat-Bulk | PBE-GGA | optimized geometry
# Calculated density in g/cm³: 4.2
# Energy relative to the lowest polymorph listed for this composition in meV/atom: 105
# E_form (uncorrected) in meV/atom: -774
# N(E_F) in states/eV/f.u.: 1.84
# V in Å³ per atom: 30.63
# Spin magnetization in μB/f.u.: 1.09
data_BaCoCl
_cell_length_a 11.329
_cell_length_b 4.078
_cell_length_c 8.983
_cell_angle_alpha 90.00
_cell_angle_beta 117.65
_cell_angle_gamma 90.00
_space_group_name_H-M_alt 'C 1 m 1'
_space_group_IT_number 8
loop_
_space_group_symop_operation_xyz
'x,y,z'
'x,-y,z'
'x+1/2,y+1/2,z'
'x+1/2,-y+1/2,z'
loop_
_atom_site_label
_atom_site_type_symbol
_atom_site_fract_x
_atom_site_fract_y
_atom_site_fract_z
Ba1 Ba 0.000 0.000 0.000
Ba2 Ba 0.130 0.000 0.600
Co1 Co 0.198 0.500 0.921
Co2 Co 0.284 0.000 0.020
Cl1 Cl 0.347 0.500 0.603
Cl2 Cl 0.485 0.000 0.279


No. 4
# Y4TmAg | Alexandria via LeMat-Bulk | PBE-GGA | optimized geometry
# ΔE_f in kJ per mole of atoms: -7.7
# Calculated density in g/cm³: 5.9
# Energy relative to the lowest polymorph listed for this composition in meV/atom: 0
# N(E_F) in states/eV/f.u.: 8.03
# V in Å³ per atom: 29.42
# Spin magnetization in μB/f.u.: 0.00
data_Y4TmAg
_cell_length_a 3.554
_cell_length_b 3.554
_cell_length_c 13.975
_cell_angle_alpha 90.00
_cell_angle_beta 90.00
_cell_angle_gamma 90.00
_space_group_name_H-M_alt 'P 4/m m m'
_space_group_IT_number 123
_space_group_name_Hall '-P 4 2'
loop_
_atom_site_label
_atom_site_type_symbol
_atom_site_fract_x
_atom_site_fract_y
_atom_site_fract_z
Y1 Y 0.000 0.000 0.137
Y2 Y 0.500 0.500 0.323
Tm1 Tm 0.000 0.000 0.500
Ag1 Ag 0.500 0.500 0.000


No. 5
# GeRuSe2 | Alexandria via LeMat-Bulk | PBE-GGA | optimized geometry
# Calculated density in g/cm³: 6.0
# E_form (uncorrected) in meV/atom: 88
# N(E_F) in states/eV/f.u.: 5.59
# V in Å³ per atom: 22.95
# Spin magnetization in μB/f.u.: 0.00
data_GeRuSe2
_cell_length_a 3.5759
_cell_length_b 3.5759
_cell_length_c 24.8655
_cell_angle_alpha 90.00
_cell_angle_beta 90.00
_cell_angle_gamma 120.00
_space_group_name_H-M_alt 'R -3 m'
_space_group_IT_number 166
_space_group_name_Hall '-R 3 2"'
loop_
_atom_site_label
_atom_site_type_symbol
_atom_site_fract_x
_atom_site_fract_y
_atom_site_fract_z
Ge1 Ge 0.0000 0.0000 0.0000
Ru1 Ru 0.0000 0.0000 0.5000
Se1 Se 0.0000 0.0000 0.1111


No. 6
# KHgRh4 | Alexandria via LeMat-Bulk | PBE-GGA | optimized geometry
# ΔE_f in kJ per mole of atoms: 42.4
# Calculated density in g/cm³: 9.9
# N(E_F) in states/eV/f.u.: 11.76
# V in Å³ per atom: 18.12
# Spin magnetization in μB/f.u.: 1.96
data_KHgRh4
_cell_length_a 7.576
_cell_length_b 7.576
_cell_length_c 7.576
_cell_angle_alpha 90.00
_cell_angle_beta 90.00
_cell_angle_gamma 90.00
_space_group_name_H-M_alt 'F -4 3 m'
_space_group_IT_number 216
_space_group_name_Hall 'F -4 2 3'
loop_
_atom_site_label
_atom_site_type_symbol
_atom_site_fract_x
_atom_site_fract_y
_atom_site_fract_z
K1 K 0.000 0.000 0.000
Hg1 Hg 0.250 0.250 0.250
Rh1 Rh 0.125 0.125 0.625


No. 7
# Pr7Ho2Er2 | Alexandria via LeMat-Bulk | PBE-GGA | optimized geometry
# ΔE_f in kJ per mole of atoms: 13.0
# Calculated density in g/cm³: 7.2
# Energy relative to the lowest polymorph listed for this composition in meV/atom: 9
# N(E_F) in states/eV/f.u.: 15.31
# V in Å³ per atom: 34.64
# Spin magnetization in μB/f.u.: 0.00
data_Pr7Ho2Er2
_cell_length_a 11.507
_cell_length_b 11.587
_cell_length_c 6.160
_cell_angle_alpha 90.00
_cell_angle_beta 111.86
_cell_angle_gamma 90.00
_space_group_name_H-M_alt 'C 1 2/m 1'
_space_group_IT_number 12
loop_
_space_group_symop_operation_xyz
'x,y,z'
'-x,-y,-z'
'-x,y,-z'
'x,-y,z'
'x+1/2,y+1/2,z'
'-x+1/2,-y+1/2,-z'
'-x+1/2,y+1/2,-z'
'x+1/2,-y+1/2,z'
loop_
_atom_site_label
_atom_site_type_symbol
_atom_site_fract_x
_atom_site_fract_y
_atom_site_fract_z
Pr1 Pr 0.000 0.000 0.000
Pr2 Pr 0.074 0.500 0.800
Pr3 Pr 0.183 0.232 0.182
Ho1 Ho 0.227 0.000 0.588
Er1 Er 0.000 0.214 0.500